This record from Alexandria describes a geometry-optimized PdSeSCl2 structure. The functional is PBE.

Cell lengths 4.869, 4.869, 5.025 Å; angles 90.00, 90.00, 90.00 degrees
Each line ends with the local moment (μB).
Element x y z (fractional)
1 S 0.000 0.000 0.500  0.19
2 Se 0.000 0.000 0.000  -0.01
3 Pd 0.500 0.500 0.500  0.67
4 Cl 0.000 0.500 0.000  0.01
5 Cl 0.500 0.000 0.000  0.01

Computed properties:
For the uncorrected formation energy, the calculation gives 0.55 eV per atom. For the density of states at the Fermi level, the calculation gives 4.0 states/eV/f.u. The energy above the most stable polymorph in this dataset comes out at 0.185 eV per atom. Its space-group type is P4/mmm, No. 123. The value obtained for the magnetic moment is 1.02 μB/cell.